# Ce5Nd3As8 | the Alexandria database | GGA-PBE | relaxed
data_Ce5Nd3As8
_symmetry_space_group_name_H-M 'P 1'
_symmetry_Int_Tables_number 1
_cell_length_a 8.476
_cell_length_b 8.476
_cell_length_c 8.476
_cell_angle_alpha 60.00
_cell_angle_beta 60.00
_cell_angle_gamma 60.00
loop_
_symmetry_equiv_pos_as_xyz
'x,y,z'
loop_
_atom_site_label
_atom_site_type_symbol
_atom_site_fract_x
_atom_site_fract_y
_atom_site_fract_z
Ce1 Ce 0.000 0.000 0.000
Ce2 Ce 0.000 0.500 0.500
Ce3 Ce 0.500 0.000 0.500
Ce4 Ce 0.500 0.500 0.000
Ce5 Ce 0.500 0.500 0.500
Nd1 Nd 0.000 0.000 0.500
Nd2 Nd 0.000 0.500 0.000
Nd3 Nd 0.500 0.000 0.000
As1 As 0.250 0.250 0.746
As2 As 0.250 0.746 0.250
As3 As 0.252 0.252 0.252
As4 As 0.254 0.750 0.750
As5 As 0.746 0.250 0.250
As6 As 0.748 0.748 0.748
As7 As 0.750 0.254 0.750
As8 As 0.750 0.750 0.254
# - Total DFT energy (no corrections): -0.48026 Ry per atom
# - Energy relative to the elements: -1.4613 eV/atom
# - N(E_F): 27.5 states/eV per cell